This record from the Alexandria database describes a relaxed structure of La5Tb8Pm. The functional is PBE.

DOS(E_F) in states/eV/cell: 41.73
Formation energy in eV per atom: 0.0533

Geometry as CIF:
```
data_La5Tb8Pm
_chemical_formula_sum 'La10 Tb16 Pm2'
_cell_length_a 17.661
_cell_length_b 3.578
_cell_length_c 17.064
_cell_angle_alpha 90.00
_cell_angle_beta 118.14
_cell_angle_gamma 90.00
_symmetry_space_group_name_H-M 'C 1 2/m 1'
_symmetry_Int_Tables_number 12
loop_
_symmetry_equiv_pos_as_xyz
'x,y,z'
'-x,-y,-z'
'-x,y,-z'
'x,-y,z'
'x+1/2,y+1/2,z'
'-x+1/2,-y+1/2,-z'
'-x+1/2,y+1/2,-z'
'x+1/2,-y+1/2,z'
loop_
_atom_site_label
_atom_site_type_symbol
_atom_site_fract_x
_atom_site_fract_y
_atom_site_fract_z
La1 La 0.000 0.000 0.000
La2 La 0.144 0.500 0.939
La3 La 0.212 0.500 0.644
Tb1 Tb 0.075 0.000 0.722
Tb2 Tb 0.080 0.500 0.223
Tb3 Tb 0.146 0.000 0.437
Tb4 Tb 0.217 0.000 0.146
Pm1 Pm 0.000 0.500 0.500
```

This record from the Alexandria database describes a relaxed structure of Ta3MnRh. The functional is PBE.

DOS(E_F) in states/eV/cell: 9.01
Excess energy over the best structure of this formula in the dataset in eV/atom: 0.814
Formation energy in eV per atom: 1.5991

Geometry as CIF:
```
data_Ta3MnRh
_chemical_formula_sum 'Ta3 Mn1 Rh1'
_cell_length_a 4.742
_cell_length_b 4.742
_cell_length_c 4.742
_cell_angle_alpha 90.00
_cell_angle_beta 90.00
_cell_angle_gamma 90.00
_symmetry_space_group_name_H-M 'P m -3 m'
_symmetry_Int_Tables_number 221
_symmetry_space_group_name_Hall '-P 4 2 3'
loop_
_atom_site_label
_atom_site_type_symbol
_atom_site_fract_x
_atom_site_fract_y
_atom_site_fract_z
Ta1 Ta 0.000 0.000 0.500
Mn1 Mn 0.500 0.500 0.500
Rh1 Rh 0.000 0.000 0.000
```

This record from the Alexandria database describes a relaxed structure of SrLi2Os. The functional is PBE.

DOS(E_F) in states/eV/cell: 5.00
Excess energy over the best structure of this formula in the dataset in eV/atom: 0.023
Formation energy in eV per atom: 0.5188

Geometry as CIF:
```
data_SrLi2Os
_chemical_formula_sum 'Sr2 Li4 Os2'
_cell_length_a 2.859
_cell_length_b 5.425
_cell_length_c 11.413
_cell_angle_alpha 90.00
_cell_angle_beta 90.00
_cell_angle_gamma 90.00
_symmetry_space_group_name_H-M 'I m m m'
_symmetry_Int_Tables_number 71
_symmetry_space_group_name_Hall '-I 2 2'
loop_
_atom_site_label
_atom_site_type_symbol
_atom_site_fract_x
_atom_site_fract_y
_atom_site_fract_z
Sr1 Sr 0.000 0.000 0.000
Li1 Li 0.000 0.500 0.198
Os1 Os 0.000 0.000 0.500
```

This record from the Alexandria database describes a relaxed structure of Cu5Bi3O12. The functional is PBE.

ΔE_f (raw) in meV/atom: -676
DOS(E_F) in states/eV/cell: 143.64

Geometry as CIF:
```
data_Cu5Bi3O12
_chemical_formula_sum 'Cu40 Bi24 O96'
_cell_length_a 12.522
_cell_length_b 12.522
_cell_length_c 12.522
_cell_angle_alpha 90.00
_cell_angle_beta 90.00
_cell_angle_gamma 90.00
_symmetry_space_group_name_H-M 'I a -3 d'
_symmetry_Int_Tables_number 230
_symmetry_space_group_name_Hall '-I 4bd 2c 3'
loop_
_atom_site_label
_atom_site_type_symbol
_atom_site_fract_x
_atom_site_fract_y
_atom_site_fract_z
Cu1 Cu 0.000 0.000 0.000
Cu2 Cu 0.000 0.250 0.375
Bi1 Bi 0.000 0.250 0.125
O1 O 0.024 0.053 0.650
```

This record from the Alexandria database describes a relaxed structure of MnNbS3. The functional is PBE.

ΔE_f (raw) in meV/atom: -92
DOS(E_F) in states/eV/cell: 3.27
Excess energy over the best structure of this formula in the dataset in eV/atom: 0.534

Geometry as CIF:
```
data_MnNbS3
_chemical_formula_sum 'Mn1 Nb1 S3'
_cell_length_a 4.791
_cell_length_b 4.791
_cell_length_c 4.791
_cell_angle_alpha 90.00
_cell_angle_beta 90.00
_cell_angle_gamma 90.00
_symmetry_space_group_name_H-M 'P m -3 m'
_symmetry_Int_Tables_number 221
_symmetry_space_group_name_Hall '-P 4 2 3'
loop_
_atom_site_label
_atom_site_type_symbol
_atom_site_fract_x
_atom_site_fract_y
_atom_site_fract_z
Mn1 Mn 0.000 0.000 0.000
Nb1 Nb 0.500 0.500 0.500
S1 S 0.000 0.500 0.500
```

This record from the Alexandria database describes a relaxed structure of InCu14Au. The functional is PBE.

DOS(E_F) in states/eV/cell: 5.09
Formation energy in eV per atom: 0.0247

Geometry as CIF:
```
data_InCu14Au
_chemical_formula_sum 'In2 Cu28 Au2'
_cell_length_a 8.554
_cell_length_b 5.346
_cell_length_c 9.126
_cell_angle_alpha 90.00
_cell_angle_beta 90.00
_cell_angle_gamma 90.00
_symmetry_space_group_name_H-M 'A m m 2'
_symmetry_Int_Tables_number 38
loop_
_symmetry_equiv_pos_as_xyz
'x,y,z'
'-x,-y,z'
'-x,y,z'
'x,-y,z'
'x,y+1/2,z+1/2'
'-x,-y+1/2,z+1/2'
'-x,y+1/2,z+1/2'
'x,-y+1/2,z+1/2'
loop_
_atom_site_label
_atom_site_type_symbol
_atom_site_fract_x
_atom_site_fract_y
_atom_site_fract_z
In1 In 0.000 0.000 0.000
Cu1 Cu 0.000 0.248 0.749
Cu2 Cu 0.258 0.000 0.327
Cu3 Cu 0.260 0.000 0.826
Cu4 Cu 0.265 0.249 0.582
Cu5 Cu 0.500 0.000 0.162
Cu6 Cu 0.500 0.000 0.663
Cu7 Cu 0.500 0.250 0.410
Au1 Au 0.000 0.000 0.500
```

This record from the Alexandria database describes a relaxed structure of MgSnHSe. The functional is PBE.

DOS(E_F) in states/eV/cell: 0.75
Excess energy over the best structure of this formula in the dataset in eV/atom: 0.005

Geometry as CIF:
```
data_MgSnHSe
_chemical_formula_sum 'Mg1 Sn1 H1 Se1'
_cell_length_a 3.858
_cell_length_b 4.438
_cell_length_c 6.147
_cell_angle_alpha 105.15
_cell_angle_beta 90.15
_cell_angle_gamma 115.75
_symmetry_space_group_name_H-M 'P 1'
_symmetry_Int_Tables_number 1
loop_
_symmetry_equiv_pos_as_xyz
'x,y,z'
loop_
_atom_site_label
_atom_site_type_symbol
_atom_site_fract_x
_atom_site_fract_y
_atom_site_fract_z
Mg1 Mg 0.000 0.000 0.000
Sn1 Sn 0.636 0.271 0.567
H1 H 0.885 0.765 0.689
Se1 Se 0.714 0.428 0.133
```

This record from the Alexandria database describes a relaxed structure of Mg3MnIn. The functional is PBE.

DOS(E_F) in states/eV/cell: 3.68
Excess energy over the best structure of this formula in the dataset in eV/atom: 0.161
Formation energy in eV per atom: 0.7218

Geometry as CIF:
```
data_Mg3MnIn
_chemical_formula_sum 'Mg3 Mn1 In1'
_cell_length_a 5.305
_cell_length_b 5.305
_cell_length_c 5.305
_cell_angle_alpha 90.00
_cell_angle_beta 90.00
_cell_angle_gamma 90.00
_symmetry_space_group_name_H-M 'P m -3 m'
_symmetry_Int_Tables_number 221
_symmetry_space_group_name_Hall '-P 4 2 3'
loop_
_atom_site_label
_atom_site_type_symbol
_atom_site_fract_x
_atom_site_fract_y
_atom_site_fract_z
Mg1 Mg 0.000 0.000 0.500
Mn1 Mn 0.500 0.500 0.500
In1 In 0.000 0.000 0.000
```

This record from the Alexandria database describes a relaxed structure of CoAgRuCl2. The functional is PBE.

ΔE_f (raw) in meV/atom: 935
DOS(E_F) in states/eV/cell: 9.67

Geometry as CIF:
```
data_CoAgRuCl2
_chemical_formula_sum 'Co1 Ag1 Ru1 Cl2'
_cell_length_a 4.553
_cell_length_b 4.553
_cell_length_c 5.487
_cell_angle_alpha 90.00
_cell_angle_beta 90.00
_cell_angle_gamma 90.00
_symmetry_space_group_name_H-M 'P 4/m m m'
_symmetry_Int_Tables_number 123
_symmetry_space_group_name_Hall '-P 4 2'
loop_
_atom_site_label
_atom_site_type_symbol
_atom_site_fract_x
_atom_site_fract_y
_atom_site_fract_z
Co1 Co 0.000 0.000 0.000
Ag1 Ag 0.500 0.500 0.000
Ru1 Ru 0.500 0.500 0.500
Cl1 Cl 0.000 0.500 0.500
```

This record from the Alexandria database describes a relaxed structure of SrCdC3. The functional is PBE.

DOS(E_F) in states/eV/cell: 5.19
Excess energy over the best structure of this formula in the dataset in eV/atom: 0.000
Formation energy in eV per atom: 2.4222

Geometry as CIF:
```
data_SrCdC3
_chemical_formula_sum 'Sr1 Cd1 C3'
_cell_length_a 4.421
_cell_length_b 4.421
_cell_length_c 4.421
_cell_angle_alpha 90.00
_cell_angle_beta 90.00
_cell_angle_gamma 90.00
_symmetry_space_group_name_H-M 'P m -3 m'
_symmetry_Int_Tables_number 221
_symmetry_space_group_name_Hall '-P 4 2 3'
loop_
_atom_site_label
_atom_site_type_symbol
_atom_site_fract_x
_atom_site_fract_y
_atom_site_fract_z
Sr1 Sr 0.000 0.000 0.000
Cd1 Cd 0.500 0.500 0.500
C1 C 0.000 0.500 0.500
```